w) An optimized crystal structure of Si2HgAs. Source: Alexandria via LeMat-Bulk, functional PBE.

abc: 5.881 5.881 6.980
angles: 65.08 65.08 90.00
Positions (direct):
Si 0.609 0.125 0.250
Si 0.141 0.625 0.250
Si 0.875 0.859 0.750
Si 0.375 0.391 0.750
Hg 0.750 0.250 0.500
Hg 0.000 0.000 0.000
As 0.500 0.500 0.000
As 0.250 0.750 0.500

Properties
Magnetization, μB per atom: 0.000
Symmetry: I-42d (122)


x) An optimized crystal structure of Si2HgAs. Source: Alexandria via LeMat-Bulk, functional PBE.

abc: 7.063 7.063 7.063
angles: 30.22 30.22 30.22
Positions (direct):
Si 0.252 0.252 0.252
Si 0.986 0.986 0.986
As 0.518 0.518 0.518
Hg 0.745 0.745 0.745

Properties
Magnetization, μB per atom: 0.000
Symmetry: R3m (160)


Most stable of them? x).


w) An optimized crystal structure of Si2HgAs. Source: Alexandria via LeMat-Bulk, functional PBE.

abc: 5.149 3.895 3.895
angles: 90.00 90.00 90.00
Positions (direct):
Si 0.000 0.000 0.000
Si 0.000 0.500 0.500
Hg 0.500 0.000 0.500
As 0.500 0.500 0.000

Properties
Magnetization, μB per atom: 0.000
Symmetry: P4/mmm (123)


x) An optimized crystal structure of Si2HgAs. Source: Alexandria via LeMat-Bulk, functional PBE.

abc: 2.814 2.814 10.268
angles: 90.00 90.00 106.25
Positions (direct):
Si 0.000 0.000 0.469
Si 0.000 0.000 0.031
As 0.500 0.500 0.250
Hg 0.500 0.500 0.750

Properties
Magnetization, μB per atom: 0.000
Symmetry: Cmmm (65)


y) An optimized crystal structure of Si2HgAs. Source: Alexandria via LeMat-Bulk, functional PBE.

abc: 3.280 3.280 8.070
angles: 90.00 90.00 90.00
Positions (direct):
Si 0.000 0.000 0.092
Si 0.500 0.500 0.235
Hg 0.500 0.500 0.770
As 0.000 0.000 0.404

Properties
Magnetization, μB per atom: 0.000
Symmetry: P4mm (99)


z) An optimized crystal structure of Si2HgAs. Source: Alexandria via LeMat-Bulk, functional PBE.

abc: 3.639 4.518 5.203
angles: 71.24 90.00 90.00
Positions (direct):
Si 0.500 0.248 0.239
Si 0.000 0.989 0.066
Hg 0.500 0.767 0.756
As 0.000 0.497 0.438

Properties
Magnetization, μB per atom: 0.000
Symmetry: Pm (6)


Most stable of them? z).


w) An optimized crystal structure of Si2HgAs. Source: Alexandria via LeMat-Bulk, functional PBE.

abc: 3.619 3.619 7.373
angles: 89.95 89.95 60.04
Positions (direct):
As 0.375 0.375 0.576
Si 0.709 0.709 0.965
Si 0.042 0.042 0.748
Hg 0.374 0.374 0.211

Properties
Magnetization, μB per atom: 0.000
Symmetry: Cm (8)


x) An optimized crystal structure of Si2HgAs. Source: Alexandria via LeMat-Bulk, functional PBE.

abc: 5.537 5.537 5.537
angles: 143.63 128.85 64.38
Positions (direct):
Si 0.535 0.535 0.000
Si 0.965 0.965 0.000
As 0.750 0.250 0.500
Hg 0.250 0.750 0.500

Properties
Magnetization, μB per atom: 0.000
Symmetry: Immm (71)


Most stable of them? w).


w) An optimized crystal structure of SiHgAs3. Source: Alexandria via LeMat-Bulk, functional PBE.

abc: 4.849 4.849 4.849
angles: 90.00 90.00 90.00
Positions (direct):
Si 0.000 0.000 0.000
As 0.000 0.000 0.500
As 0.000 0.500 0.000
As 0.500 0.000 0.000
Hg 0.500 0.500 0.500

Properties
Magnetization, μB per atom: 0.000
Symmetry: Pm-3m (221)


x) An optimized crystal structure of SiHgAs3. Source: Alexandria via LeMat-Bulk, functional PBE.

abc: 5.162 5.162 5.162
angles: 90.00 90.00 90.00
Positions (direct):
As 0.000 0.000 0.500
As 0.500 0.000 0.000
As 0.000 0.500 0.000
Hg 0.000 0.000 0.000
Si 0.500 0.500 0.500

Properties
Magnetization, μB per atom: 0.000
Symmetry: Pm-3m (221)


Most stable of them? w).


w) An optimized crystal structure of SnHg3As. Source: Alexandria via LeMat-Bulk, functional PBE.

abc: 5.601 5.601 5.601
angles: 90.00 90.00 90.00
Positions (direct):
Hg 0.000 0.500 0.000
Hg 0.500 0.000 0.000
Hg 0.000 0.000 0.500
Sn 0.000 0.000 0.000
As 0.500 0.500 0.500

Properties
Magnetization, μB per atom: 0.427
Symmetry: Pm-3m (221)


x) An optimized crystal structure of SnHg3As. Source: Alexandria via LeMat-Bulk, functional PBE.

abc: 5.326 5.326 5.326
angles: 90.00 90.00 90.00
Positions (direct):
As 0.000 0.000 0.000
Sn 0.500 0.500 0.500
Hg 0.000 0.500 0.000
Hg 0.500 0.000 0.000
Hg 0.000 0.000 0.500

Properties
Magnetization, μB per atom: 0.000
Symmetry: Pm-3m (221)


Most stable of them? x).


w) An optimized crystal structure of SnHg2As. Source: Alexandria via LeMat-Bulk, functional PBE.

abc: 5.346 3.797 8.037
angles: 89.79 90.00 134.74
Positions (direct):
Hg 0.876 0.751 0.035
Hg 0.374 0.747 0.222
As 0.376 0.751 0.567
Sn 0.875 0.750 0.676

Properties
Magnetization, μB per atom: 0.000
Symmetry: Cm (8)


x) An optimized crystal structure of SnHg2As. Source: Alexandria via LeMat-Bulk, functional PBE.

abc: 7.097 7.097 6.951
angles: 59.30 59.30 90.00
Positions (direct):
As 0.250 0.750 0.500
As 0.500 0.500 0.000
Sn 0.750 0.250 0.500
Sn 0.000 0.000 0.000
Hg 0.375 0.404 0.750
Hg 0.875 0.846 0.750
Hg 0.596 0.125 0.250
Hg 0.154 0.625 0.250

Properties
Magnetization, μB per atom: 0.000
Symmetry: I-42d (122)


y) An optimized crystal structure of SnHg2As. Source: Alexandria via LeMat-Bulk, functional PBE.

abc: 5.170 5.170 5.170
angles: 60.00 60.00 60.00
Positions (direct):
Hg 0.750 0.750 0.750
Hg 0.250 0.250 0.250
As 0.000 0.000 0.000
Sn 0.500 0.500 0.500

Properties
Magnetization, μB per atom: 0.000
Symmetry: Fm-3m (225)


Most stable of them? w).